Entry 1:
Tb3DyBi4: relaxed, PBE.

Unit cell a=8.9695 b=12.6844 c=4.4881 alpha=90.00 beta=90.00 gamma=90.00
Space group Cmmm (No. 65)
Symmetry-distinct sites (fractional):
Tb 0.0000 0.0000 0.0000 [2 per cell]
Tb 0.2500 0.2500 0.5000 [4 per cell]
Dy 0.0000 0.5000 0.0000 [2 per cell]
Bi 0.0000 0.2504 0.0000 [4 per cell]
Bi 0.2493 0.5000 0.5000 [4 per cell]

Results
**Energy above the lowest structure with this stoichiometry**: 0.6 kJ/mol of atoms
**DFT formation energy**: -874 meV per atom
**Total DFT energy (no corrections)**: -5.13 eV/atom

Entry 2:
Co2MoAs: relaxed, PBE.

Unit cell a=3.5893 b=3.7092 c=3.8221 alpha=90.00 beta=90.00 gamma=90.00
Space group Pmmm (No. 47)
Symmetry-distinct sites (fractional):
Co 0.0000 0.0000 0.0000 [1 per cell]
Co 0.5000 0.0000 0.5000 [1 per cell]
Mo 0.0000 0.5000 0.5000 [1 per cell]
As 0.5000 0.5000 0.0000 [1 per cell]

Results
**DFT formation energy**: 95 meV per atom
**Total DFT energy (no corrections)**: -7.33 eV/atom

Entry 3:
LiInPt2: relaxed, PBE.

Unit cell a=4.0977 b=4.0977 c=3.7921 alpha=90.00 beta=90.00 gamma=90.00
Space group P4/mmm (No. 123)
Symmetry-distinct sites (fractional):
Li 0.0000 0.0000 0.0000 [1 per cell]
In 0.5000 0.5000 0.0000 [1 per cell]
Pt 0.0000 0.5000 0.5000 [2 per cell]

Results
**DFT formation energy**: -612 meV per atom
**Total DFT energy (no corrections)**: -4.80 eV/atom

Entry 4:
Hf2PtC: relaxed, PBE.

Unit cell a=4.5946 b=4.6140 c=12.8363 alpha=90.00 beta=90.00 gamma=90.00
Space group F222 (No. 22)
Symmetry-distinct sites (fractional):
Hf 0.0000 0.0000 0.1421 [8 per cell]
Pt 0.0000 0.0000 0.5000 [4 per cell]
C 0.2500 0.2500 0.7500 [4 per cell]

Results
**DFT formation energy**: -503 meV per atom
**Total DFT energy (no corrections)**: -9.30 eV/atom

Entry 5:
BeAsH3: relaxed, PBE.

Unit cell a=3.6762 b=3.6762 c=3.6762 alpha=90.00 beta=90.00 gamma=90.00
Space group Pm-3m (No. 221)
Symmetry-distinct sites (fractional):
Be 0.0000 0.0000 0.0000 [1 per cell]
As 0.5000 0.5000 0.5000 [1 per cell]
H 0.0000 0.5000 0.5000 [3 per cell]

Results
**Energy above the lowest structure with this stoichiometry**: 25.7 kJ/mol of atoms
**Total DFT energy (no corrections)**: -2.73 eV/atom

Entry 6:
Re2As: relaxed, PBE.

Unit cell a=2.8616 b=2.8616 c=6.5004 alpha=90.00 beta=90.00 gamma=120.00
Space group P-3m1 (No. 164)
Symmetry-distinct sites (fractional):
Re 0.3333 0.6667 0.3404 [2 per cell]
As 0.0000 0.0000 0.0000 [1 per cell]

Results
**DFT formation energy**: 214 meV per atom
**Total DFT energy (no corrections)**: -9.63 eV/atom

Entry 7:
V5Fe2MoPt2: relaxed, PBE.

Unit cell a=8.6540 b=8.6540 c=3.6402 alpha=90.00 beta=90.00 gamma=90.00
Space group P4/mbm (No. 127)
Symmetry-distinct sites (fractional):
V 0.0000 0.5000 0.0000 [2 per cell]
V 0.0714 0.2055 0.0000 [8 per cell]
Fe 0.1217 0.3783 0.5000 [4 per cell]
Mo 0.0000 0.0000 0.5000 [2 per cell]
Pt 0.1740 0.6740 0.5000 [4 per cell]

Results
**DFT formation energy**: -65 meV per atom
**Total DFT energy (no corrections)**: -8.61 eV/atom

Entry 8:
Li2BeOs: relaxed, PBE.

Unit cell a=6.5067 b=6.5067 c=4.4847 alpha=90.00 beta=90.00 gamma=90.00
Space group I-42d (No. 122)
Symmetry-distinct sites (fractional):
Li 0.2203 0.2500 0.1250 [8 per cell]
Be 0.0000 0.0000 0.0000 [4 per cell]
Os 0.0000 0.0000 0.5000 [4 per cell]

Results
**DFT formation energy**: 594 meV per atom
**Total DFT energy (no corrections)**: -4.10 eV/atom

Entry 9:
InWAu2: relaxed, PBE.

Unit cell a=4.2303 b=4.2303 c=8.1963 alpha=90.00 beta=90.00 gamma=90.00
Space group I4/mmm (No. 139)
Symmetry-distinct sites (fractional):
In 0.0000 0.0000 0.0000 [2 per cell]
W 0.0000 0.0000 0.5000 [2 per cell]
Au 0.0000 0.5000 0.2500 [4 per cell]

Results
**DFT formation energy**: 529 meV per atom
**Total DFT energy (no corrections)**: -5.03 eV/atom

Entry 10:
CsSbI2O: relaxed, PBE.

Unit cell a=6.8620 b=6.8620 c=4.3565 alpha=90.00 beta=90.00 gamma=90.00
Space group P4/mmm (No. 123)
Symmetry-distinct sites (fractional):
Cs 0.0000 0.0000 0.0000 [1 per cell]
Sb 0.5000 0.5000 0.5000 [1 per cell]
I 0.0000 0.5000 0.0000 [2 per cell]
O 0.0000 0.0000 0.5000 [1 per cell]

Results
**Energy above the lowest structure with this stoichiometry**: 128.8 kJ/mol of atoms
**Raw formation energy**: 40.05 kJ/mol of atoms
**Total DFT energy (no corrections)**: -2.19 eV/atom

Entry 11:
Na3GaI: relaxed, PBE.

Unit cell a=5.7952 b=5.7952 c=5.7952 alpha=90.00 beta=90.00 gamma=90.00
Space group Pm-3m (No. 221)
Symmetry-distinct sites (fractional):
Na 0.0000 0.0000 0.5000 [3 per cell]
Ga 0.0000 0.0000 0.0000 [1 per cell]
I 0.5000 0.5000 0.5000 [1 per cell]

Results
**Energy above the lowest structure with this stoichiometry**: 0.8 kJ/mol of atoms
**Raw formation energy**: -8.63 kJ/mol of atoms
**Total DFT energy (no corrections)**: -1.80 eV/atom

Entry 12:
ScMo2Pt: relaxed, PBE.

Unit cell a=3.2478 b=3.2478 c=6.3907 alpha=90.00 beta=90.00 gamma=90.00
Space group P4mm (No. 99)
Symmetry-distinct sites (fractional):
Sc 0.0000 0.0000 0.0000 [1 per cell]
Mo 0.0000 0.0000 0.4854 [1 per cell]
Mo 0.5000 0.5000 0.2741 [1 per cell]
Pt 0.5000 0.5000 0.7586 [1 per cell]

Results
**Energy above the lowest structure with this stoichiometry**: 0.0 kJ/mol of atoms
**DFT formation energy**: -310 meV per atom
**Total DFT energy (no corrections)**: -8.82 eV/atom

Entry 13:
Cu5AgPd: relaxed, PBE.

Unit cell a=5.1285 b=7.6749 c=5.1750 alpha=90.00 beta=90.00 gamma=90.00
Space group Cmmm (No. 65)
Symmetry-distinct sites (fractional):
Cu 0.0000 0.0000 0.0000 [2 per cell]
Cu 0.2500 0.2500 0.2471 [8 per cell]
Ag 0.0000 0.0000 0.5000 [2 per cell]
Pd 0.0000 0.5000 0.0000 [2 per cell]

Results
**DFT formation energy**: 143 meV per atom
**Total DFT energy (no corrections)**: -3.93 eV/atom

Entry 14:
Dy2Th: relaxed, PBE.

Unit cell a=6.2100 b=3.5922 c=8.7774 alpha=90.00 beta=103.69 gamma=90.00
Space group C2/m (No. 12)
Symmetry-distinct sites (fractional):
Dy 0.2238 0.0000 0.1716 [4 per cell]
Th 0.0000 0.0000 0.5000 [2 per cell]

Results
**Energy above the lowest structure with this stoichiometry**: 0.0 kJ/mol of atoms
**DFT formation energy**: -12 meV per atom
**Total DFT energy (no corrections)**: -5.55 eV/atom

Entry 15:
Ba2ReRu: relaxed, PBE.

Unit cell a=3.4493 b=3.4493 c=29.9421 alpha=90.00 beta=90.00 gamma=120.00
Space group R-3m (No. 166, hexagonal axes)
Symmetry-distinct sites (fractional):
Ba 0.0000 0.0000 0.2462 [6 per cell]
Re 0.0000 0.0000 0.0000 [3 per cell]
Ru 0.0000 0.0000 0.5000 [3 per cell]

Results
**Energy above the lowest structure with this stoichiometry**: 120.1 kJ/mol of atoms
**DFT formation energy**: 1538 meV per atom
**Total DFT energy (no corrections)**: -4.85 eV/atom

Entry 16:
Nd2TlPb: relaxed, PBE.

Unit cell a=5.1820 b=5.1820 c=4.4680 alpha=90.00 beta=90.00 gamma=90.00
Space group P4/mmm (No. 123)
Symmetry-distinct sites (fractional):
Nd 0.0000 0.5000 0.0000 [2 per cell]
Tl 0.0000 0.0000 0.5000 [1 per cell]
Pb 0.5000 0.5000 0.5000 [1 per cell]

Results
**DFT formation energy**: -462 meV per atom
**Total DFT energy (no corrections)**: -4.36 eV/atom

Entry 17:
MgScSnHg: relaxed, PBE.

Unit cell a=4.1407 b=4.4551 c=4.7627 alpha=90.00 beta=90.00 gamma=90.00
Space group Pmmm (No. 47)
Symmetry-distinct sites (fractional):
Mg 0.0000 0.0000 0.0000 [1 per cell]
Sc 0.0000 0.5000 0.5000 [1 per cell]
Sn 0.5000 0.0000 0.5000 [1 per cell]
Hg 0.5000 0.5000 0.0000 [1 per cell]

Results
**Energy above the lowest structure with this stoichiometry**: 0.0 kJ/mol of atoms
**DFT formation energy**: -406 meV per atom
**Total DFT energy (no corrections)**: -3.46 eV/atom

Entry 18:
Tb3Pm7Y: relaxed, PBE.

Unit cell a=12.8390 b=11.3068 c=5.9059 alpha=90.00 beta=117.36 gamma=90.00
Space group C2/m (No. 12)
Symmetry-distinct sites (fractional):
Tb 0.0000 0.0000 0.0000 [2 per cell]
Tb 0.0000 0.2053 0.5000 [4 per cell]
Pm 0.0000 0.5000 0.5000 [2 per cell]
Pm 0.1959 0.2067 0.1956 [8 per cell]
Pm 0.2087 0.0000 0.7071 [4 per cell]
Y 0.0000 0.5000 0.0000 [2 per cell]

Results
**Energy above the lowest structure with this stoichiometry**: 11.2 kJ/mol of atoms
**DFT formation energy**: 234 meV per atom
**Total DFT energy (no corrections)**: -4.64 eV/atom

Entry 19:
Fe2PW: relaxed, PBE.

Unit cell a=3.0107 b=3.9568 c=4.1958 alpha=90.00 beta=90.00 gamma=90.00
Space group Pmmm (No. 47)
Symmetry-distinct sites (fractional):
Fe 0.0000 0.0000 0.0000 [1 per cell]
Fe 0.5000 0.5000 0.0000 [1 per cell]
P 0.0000 0.5000 0.5000 [1 per cell]
W 0.5000 0.0000 0.5000 [1 per cell]

Results
**DFT formation energy**: 22 meV per atom
**Total DFT energy (no corrections)**: -8.80 eV/atom

Entry 20:
CaPrRhAu: relaxed, PBE.

Unit cell a=7.1919 b=7.1919 c=7.1919 alpha=90.00 beta=90.00 gamma=90.00
Space group F-43m (No. 216)
Symmetry-distinct sites (fractional):
Ca 0.0000 0.0000 0.0000 [4 per cell]
Pr 0.0000 0.0000 0.5000 [4 per cell]
Rh 0.2500 0.2500 0.2500 [4 per cell]
Au 0.2500 0.2500 0.7500 [4 per cell]

Results
**Energy above the lowest structure with this stoichiometry**: 5.4 kJ/mol of atoms
**DFT formation energy**: -634 meV per atom
**Total DFT energy (no corrections)**: -4.99 eV/atom